# Eu3Sc2Al3O12

Eu3Sc2Al3O12 after structural relaxation (PBE, Alexandria).

Unit cell a=10.9226 b=10.9226 c=10.9226 alpha=109.47 beta=109.47 gamma=109.47
Sites, in units of the cell vectors:
Eu: 0.1250 0.2500 0.3750
Eu: 0.1250 0.3750 0.7500
Eu: 0.2500 0.3750 0.1250
Eu: 0.2500 0.8750 0.6250
Eu: 0.3750 0.1250 0.2500
Eu: 0.3750 0.7500 0.1250
Eu: 0.6250 0.2500 0.8750
Eu: 0.6250 0.8750 0.7500
Eu: 0.7500 0.1250 0.3750
Eu: 0.7500 0.6250 0.8750
Eu: 0.8750 0.6250 0.2500
Eu: 0.8750 0.7500 0.6250
Sc: 0.0000 0.0000 0.0000
Sc: 0.0000 0.0000 0.5000
Sc: 0.0000 0.5000 0.0000
Sc: 0.0000 0.5000 0.5000
Sc: 0.5000 0.0000 0.0000
Sc: 0.5000 0.0000 0.5000
Sc: 0.5000 0.5000 0.0000
Sc: 0.5000 0.5000 0.5000
Al: 0.1250 0.7500 0.8750
Al: 0.1250 0.8750 0.2500
Al: 0.2500 0.1250 0.8750
Al: 0.2500 0.6250 0.3750
Al: 0.3750 0.2500 0.6250
Al: 0.3750 0.6250 0.7500
Al: 0.6250 0.3750 0.2500
Al: 0.6250 0.7500 0.3750
Al: 0.7500 0.3750 0.6250
Al: 0.7500 0.8750 0.1250
Al: 0.8750 0.1250 0.7500
Al: 0.8750 0.2500 0.1250
O: 0.0204 0.2094 0.1228
O: 0.0204 0.3110 0.8976
O: 0.0866 0.7094 0.6890
O: 0.0866 0.8772 0.3976
O: 0.1024 0.6228 0.4134
O: 0.1024 0.9796 0.6890
O: 0.1228 0.0204 0.2094
O: 0.1228 0.6024 0.9134
O: 0.1890 0.2094 0.5866
O: 0.1890 0.4796 0.6024
O: 0.2094 0.1228 0.0204
O: 0.2094 0.5866 0.1890
O: 0.2906 0.3110 0.9134
O: 0.2906 0.4796 0.3772
O: 0.3110 0.8976 0.0204
O: 0.3110 0.9134 0.2906
O: 0.3772 0.2906 0.4796
O: 0.3772 0.5866 0.8976
O: 0.3976 0.0866 0.8772
O: 0.3976 0.8110 0.5204
O: 0.4134 0.1024 0.6228
O: 0.4134 0.8110 0.7906
O: 0.4796 0.3772 0.2906
O: 0.4796 0.6024 0.1890
O: 0.5204 0.3976 0.8110
O: 0.5204 0.6228 0.7094
O: 0.5866 0.1890 0.2094
O: 0.5866 0.8976 0.3772
O: 0.6024 0.1890 0.4796
O: 0.6024 0.9134 0.1228
O: 0.6228 0.4134 0.1024
O: 0.6228 0.7094 0.5204
O: 0.6890 0.0866 0.7094
O: 0.6890 0.1024 0.9796
O: 0.7094 0.5204 0.6228
O: 0.7094 0.6890 0.0866
O: 0.7906 0.4134 0.8110
O: 0.7906 0.8772 0.9796
O: 0.8110 0.5204 0.3976
O: 0.8110 0.7906 0.4134
O: 0.8772 0.3976 0.0866
O: 0.8772 0.9796 0.7906
O: 0.8976 0.0204 0.3110
O: 0.8976 0.3772 0.5866
O: 0.9134 0.1228 0.6024
O: 0.9134 0.2906 0.3110
O: 0.9796 0.6890 0.1024
O: 0.9796 0.7906 0.8772

Results
- formation energy (no corrections) (eV per atom) = -3.077
- DOS(E_F) (states/eV/atom) = 0.94
- size of the total moment (μB/f.u.) = 18.00